Density functional theory data (GGA-PBE) for a geometry-optimized La8TcOs2 structure.

```
11
Lattice="6.4934 -3.5240 0.0000 6.4934 3.5240 0.0000 -1.0357 0.0000 8.4641" Properties=species:S:1:pos:R:3 pbc="T T T"
La 0.8810 0.0000 1.6470
La 4.2884 1.7270 3.1489
La 3.4249 0.0000 8.1856
La 7.6626 1.7270 5.3152
La 4.2884 -1.7270 3.1489
La 8.5262 0.0000 0.2785
La 7.6626 -1.7270 5.3152
La 11.0701 0.0000 6.8171
Tc -0.5178 0.0000 4.2321
Os 0.8770 0.0000 7.5385
Os 11.0740 0.0000 0.9256
```

energy of formation from the pure elements	0.093	eV per atom
final energy	-6.4746	eV per atom
space-group type	C2/m
V	387.36	Å³ per cell

Density functional theory data (GGA-PBE) for a geometry-optimized LaTc2Os structure.

```
4
Lattice="1.4913 -2.4237 0.0000 1.4913 2.4237 0.0000 0.0000 0.0000 9.6022" Properties=species:S:1:pos:R:3 pbc="T T T"
La 0.0000 0.0000 0.0000
Tc 1.4913 0.0000 2.6440
Tc 1.4913 0.0000 6.9582
Os 0.0000 0.0000 4.8011
```

energy of formation from the pure elements	0.665	eV per atom
final energy	-8.5575	eV per atom
space-group type	Cmmm
V	69.41	Å³ per cell
E above lowest polymorph	0.345	eV per atom